1.
The following is a DFT calculation (GGA-PBE) of a relaxed structure of Pm4GeBi2.

Cell lengths 5.426, 5.426, 9.153 Å; angles 107.24, 107.24, 90.00 degrees
Element x y z (fractional)
Bi 0.365 0.365 0.730
Bi 0.635 0.635 0.270
Ge 0.000 0.000 0.000
Pm 0.500 0.000 0.000
Pm 0.171 0.171 0.342
Pm 0.000 0.500 0.000
Pm 0.829 0.829 0.658

Values from the calculation:
* polymorph energy (0 for the lowest one): 202 meV/atom
* Fermi-level density of states: 5.26 states/eV/f.u.
* theoretical density: 7.3 Mg/m³
* size of the total moment: 0.000 μB per atom


2.
The following is a DFT calculation (GGA-PBE) of a relaxed structure of ThNb2Al6.

Cell lengths 4.048, 7.514, 7.514 Å; angles 55.34, 74.37, 74.37 degrees
Element x y z (fractional)
Al 0.312 0.984 0.392
Al 0.500 0.322 0.678
Al 0.688 0.016 0.608
Al 0.688 0.608 0.016
Al 0.312 0.392 0.984
Al 0.500 0.678 0.322
Nb 0.883 0.617 0.617
Nb 0.117 0.383 0.383
Th 0.000 0.000 0.000

Values from the calculation:
* total energy: -5.716 eV per atom
* Fermi-level density of states: 4.35 states/eV/f.u.
* theoretical density: 5.4 Mg/m³
* size of the total moment: 0.000 μB per atom


3.
The following is a DFT calculation (GGA-PBE) of a relaxed structure of HfPaGa2.

Cell lengths 3.014, 5.484, 5.484 Å; angles 109.58, 90.00, 90.00 degrees
Element x y z (fractional)
Ga 0.500 0.096 0.487
Ga 0.500 0.513 0.904
Pa 0.000 0.026 0.974
Hf 0.500 0.580 0.420

Values from the calculation:
* polymorph energy (0 for the lowest one): 175 meV/atom
* Fermi-level density of states: 3.90 states/eV/f.u.
* theoretical density: 10.7 Mg/m³
* size of the total moment: 0.000 μB per atom


4.
The following is a DFT calculation (GGA-PBE) of a relaxed structure of Al3Ag6F14.

Cell lengths 5.430, 8.724, 8.724 Å; angles 120.00, 90.00, 90.00 degrees
Element x y z (fractional)
F 0.484 0.241 0.455
F 0.907 0.138 0.933
F 0.271 0.858 0.377
F 0.271 0.519 0.142
F 0.656 0.725 0.196
F 0.656 0.804 0.530
F 0.469 0.000 0.000
F 0.907 0.067 0.205
F 0.059 0.333 0.667
F 0.484 0.545 0.786
F 0.907 0.795 0.862
F 0.271 0.623 0.481
F 0.656 0.470 0.275
F 0.484 0.214 0.759
Ag 0.219 0.302 0.247
Ag 0.219 0.945 0.698
Ag 0.859 0.010 0.469
Ag 0.219 0.753 0.055
Ag 0.859 0.459 0.990
Ag 0.859 0.531 0.541
Al 0.467 0.667 0.333
Al 0.783 0.000 0.000
Al 0.377 0.333 0.667

Values from the calculation:
* Fermi-level density of states: 2.45 states/eV/f.u.
* theoretical density: 4.6 Mg/m³
* formation energy without anion corrections: -2.153 eV per atom
* size of the total moment: 0.000 μB per atom


5.
The following is a DFT calculation (GGA-PBE) of a relaxed structure of Dy8ThIr6.

Cell lengths 7.724, 7.724, 7.724 Å; angles 64.90, 64.90, 64.90 degrees
Element x y z (fractional)
Ir 0.618 0.271 0.942
Ir 0.382 0.729 0.058
Ir 0.271 0.942 0.618
Ir 0.729 0.058 0.382
Ir 0.942 0.618 0.271
Ir 0.058 0.382 0.729
Dy 0.104 0.772 0.464
Dy 0.338 0.338 0.338
Dy 0.896 0.228 0.536
Dy 0.464 0.104 0.772
Dy 0.228 0.536 0.896
Dy 0.662 0.662 0.662
Dy 0.772 0.464 0.104
Dy 0.536 0.896 0.228
Th 0.000 0.000 0.000

Values from the calculation:
* total energy: -7.299 eV per atom
* Fermi-level density of states: 9.16 states/eV/f.u.
* theoretical density: 12.4 Mg/m³
* size of the total moment: 0.000 μB per atom


6.
The following is a DFT calculation (GGA-PBE) of a relaxed structure of GeRh.

Cell lengths 5.006, 5.006, 5.099 Å; angles 90.00, 90.00, 90.00 degrees
Element x y z (fractional)
Rh 0.708 0.708 0.000
Rh 0.292 0.292 0.000
Rh 0.792 0.208 0.500
Rh 0.208 0.792 0.500
Ge 0.206 0.794 0.000
Ge 0.706 0.706 0.500
Ge 0.294 0.294 0.500
Ge 0.794 0.206 0.000

Values from the calculation:
* total energy: -6.171 eV per atom
* Fermi-level density of states: 1.34 states/eV/f.u.
* theoretical density: 9.1 Mg/m³
* size of the total moment: 0.000 μB per atom


7.
The following is a DFT calculation (GGA-PBE) of a relaxed structure of AlAsP.

Cell lengths 5.798, 5.798, 5.798 Å; angles 146.20, 146.20, 48.55 degrees
Element x y z (fractional)
P 0.601 0.601 0.000
As 0.377 0.377 0.000
Al 0.022 0.022 0.000

Values from the calculation:
* polymorph energy (0 for the lowest one): 15 meV/atom
* Fermi-level density of states: 0.70 states/eV/f.u.
* theoretical density: 3.7 Mg/m³
* size of the total moment: 0.000 μB per atom


8.
The following is a DFT calculation (GGA-PBE) of a relaxed structure of DyPuHf.

Cell lengths 3.308, 3.308, 7.539 Å; angles 102.67, 102.67, 90.00 degrees
Site moments in Bohr magnetons follow the coordinates.
Element x y z (fractional)
Pu 0.324 0.324 0.647  5.36
Dy 0.005 0.005 0.010  0.12
Hf 0.671 0.671 0.343  -0.07

Values from the calculation:
* polymorph energy (0 for the lowest one): 0 meV/atom
* Fermi-level density of states: 6.71 states/eV/f.u.
* theoretical density: 12.4 Mg/m³
* size of the total moment: 1.903 μB per atom


9.
The following is a DFT calculation (GGA-PBE) of a relaxed structure of Pm2Er3.

Cell lengths 5.036, 6.167, 6.178 Å; angles 80.57, 65.95, 65.90 degrees
Element x y z (fractional)
Pm 0.401 0.898 0.301
Pm 0.599 0.102 0.699
Er 0.000 0.500 0.500
Er 0.800 0.301 0.098
Er 0.200 0.699 0.902

Values from the calculation:
* total energy: -4.617 eV per atom
* Fermi-level density of states: 7.05 states/eV/f.u.
* theoretical density: 8.2 Mg/m³
* size of the total moment: 0.000 μB per atom


10.
The following is a DFT calculation (GGA-PBE) of a relaxed structure of Cs3Sm3ZrS8.

Cell lengths 8.144, 8.146, 9.484 Å; angles 115.46, 90.00, 120.00 degrees
Element x y z (fractional)
S 0.272 0.544 0.315
S 0.747 0.962 0.676
S 0.214 0.429 0.676
S 0.214 0.962 0.676
S 0.786 0.038 0.324
S 0.253 0.038 0.324
S 0.786 0.571 0.324
S 0.728 0.456 0.685
Sm 0.500 0.500 0.500
Sm 0.500 0.000 0.500
Sm 0.000 0.500 0.500
Cs 0.500 0.500 0.000
Cs 0.000 0.500 0.000
Cs 0.000 0.000 0.000
Zr 0.000 0.000 0.500

Values from the calculation:
* Fermi-level density of states: 0.00 states/eV/f.u.
* theoretical density: 4.2 Mg/m³
* formation energy without anion corrections: -1.781 eV per atom
* size of the total moment: 0.000 μB per atom


11.
The following is a DFT calculation (GGA-PBE) of a relaxed structure of LiYIn2.

Cell lengths 6.624, 6.624, 6.624 Å; angles 55.03, 149.26, 135.53 degrees
Element x y z (fractional)
Li 0.000 0.000 0.000
In 0.000 0.781 0.781
In 0.000 0.219 0.219
Y 0.000 0.500 0.500

Values from the calculation:
* total energy: -3.381 eV per atom
* Fermi-level density of states: 4.06 states/eV/f.u.
* theoretical density: 5.2 Mg/m³
* size of the total moment: 0.000 μB per atom


12.
The following is a DFT calculation (GGA-PBE) of a relaxed structure of CdSbSe2.

Cell lengths 6.415, 6.415, 4.216 Å; angles 89.89, 89.89, 37.34 degrees
Element x y z (fractional)
Se 0.013 0.013 0.126
Se 0.747 0.747 0.624
Sb 0.232 0.232 0.124
Cd 0.509 0.509 0.626

Values from the calculation:
* polymorph energy (0 for the lowest one): 74 meV/atom
* Fermi-level density of states: 2.32 states/eV/f.u.
* theoretical density: 6.2 Mg/m³
* formation energy without anion corrections: -0.193 eV per atom
* size of the total moment: 0.000 μB per atom


> Which of these has the highest size of the total moment?

DyPuHf